Entry from Alexandria: an optimized crystal structure of LiTb4Er3S8 (PBE).

a = 7.7611 Å, b = 7.7611 Å, c = 19.0698 Å
α = 90.00°, β = 90.00°, γ = 120.00°
Space group R-3m (No. 166, hexagonal axes)
Symmetry-distinct sites (fractional):
Li1 0.0000 0.0000 0.0000
Tb1 0.0000 0.0000 0.5000
Tb2 0.0000 0.5000 0.5000
Er1 0.0000 0.5000 0.0000
S1 0.0000 0.0000 0.2520
S2 0.0050 0.5025 0.7468

Calculated values
Raw formation energy: -45.16 kcal/mol of atoms
M_tot: 0.00 μB per formula unit